(1)
The following is a DFT calculation (PBE) of a geometry-optimized AcLa2Ag6 structure.

Cell and atoms, written as extended XYZ:
```
9
Lattice="-0.625 3.325 -1.683 0.492 -3.723 -7.540 -7.428 0.592 3.929" Properties=species:S:1:pos:R:3 pbc="T T T"
Ag -5.251 2.056 1.771
La -2.773 1.040 -5.400
Ag -4.924 -0.420 -3.242
Ag -7.414 -0.221 -1.926
Ag -0.148 0.414 -3.369
Ag -2.637 0.613 -2.052
Ag -2.802 1.861 0.475
Ac -7.428 0.592 3.929
La -4.788 -0.847 0.106
```

Its total moment is 0.00 μB/cell. For the electronic total energy, the calculation gives -33.63 eV/cell. The value obtained for the relative energy among the computed polymorphs is 0 meV/atom. For the formation energy, the calculation gives -285 meV per atom. The density of states at the Fermi level is 7.81 states/eV per cell.

---

(2)
The following is a DFT calculation (PBE) of a geometry-optimized AcLa5Ag structure.

Cell and atoms, written as extended XYZ:
```
14
Lattice="7.023 0.757 0.134 2.945 6.420 0.134 3.398 2.447 11.805" Properties=species:S:1:pos:R:3 pbc="T T T"
La 3.593 2.236 3.901
Ag 0.000 0.000 0.000
Ac 7.002 2.577 3.085
La 8.341 5.656 5.574
La 8.499 4.082 8.987
La 3.657 2.284 0.596
La 4.868 5.541 3.085
Ac 6.365 7.046 8.987
La 9.709 7.339 11.476
La 8.407 5.702 2.269
La 5.025 3.967 6.499
Ag 1.699 1.223 5.902
La 4.960 3.921 9.804
La 9.774 7.387 8.171
```

Its total moment is 0.00 μB/cell. For the electronic total energy, the calculation gives -62.06 eV/cell. For the formation energy, the calculation gives 81 meV per atom. The density of states at the Fermi level is 20.47 states/eV per cell.

---

(3)
The following is a DFT calculation (PBE) of a geometry-optimized Ac3La4Ag structure.

Cell and atoms, written as extended XYZ:
```
8
Lattice="3.874 0.000 0.000 0.000 3.874 0.000 0.000 0.000 19.836" Properties=species:S:1:pos:R:3 pbc="T T T"
La 0.000 0.000 1.875
Ac 1.937 1.937 9.918
La 0.000 0.000 17.962
Ac 1.937 1.937 15.318
Ac 1.937 1.937 4.518
La 0.000 0.000 12.634
Ag 1.937 1.937 0.000
La 0.000 0.000 7.203
```

Its total moment is 0.00 μB/cell. For the electronic total energy, the calculation gives -35.29 eV/cell. For the formation energy, the calculation gives -50 meV per atom. The density of states at the Fermi level is 12.80 states/eV per cell.